# 1
First-principles (PBE) data for crystalline Be5ZnIr6 at its relaxed geometry, as listed in the Alexandria database.

Summary:
space group: Immm, No. 71
M_tot: 0.0 μB/f.u.
formation enthalpy at 0 K: -0.437 eV/atom
DFT total energy: -0.23985 Ha/atom

Structure (extended XYZ):
```
12
Lattice="-3.324 0.626 2.179 -0.429 -5.632 0.963 5.247 3.096 3.399" Properties=species:S:1:pos:R:3 pbc="T T T"
Be -0.566 0.506 2.706
Be 2.232 0.393 3.292
Be -0.215 -2.816 0.481
Be -0.738 -2.303 3.250
Be 2.060 -2.416 3.835
Zn 0.000 0.000 0.000
Ir 0.449 -0.661 4.588
Ir 0.656 2.066 4.122
Ir -1.977 -3.827 1.797
Ir -1.776 -1.179 1.345
Ir 0.838 -3.976 2.419
Ir 1.045 -1.249 1.953
```

---

# 2
First-principles (PBE) data for crystalline Be2ZnIr at its relaxed geometry, as listed in the Alexandria database.

Summary:
space group: R3m, No. 160
M_tot: 0.0 μB/f.u.
formation enthalpy at 0 K: 0.119 eV/atom
DFT total energy: -0.15722 Ha/atom

Structure (extended XYZ):
```
4
Lattice="-2.787 6.397 -3.779 -2.351 4.773 -5.887 -4.656 4.590 -4.498" Properties=species:S:1:pos:R:3 pbc="T T T"
Be -9.736 15.664 -14.079
Be -2.455 3.950 -3.550
Zn -7.309 11.761 -10.570
Ir -4.987 8.023 -7.211
```

---

# 3
First-principles (PBE) data for crystalline Be2ZnIr at its relaxed geometry, as listed in the Alexandria database.

Summary:
space group: F-43m, No. 216
M_tot: 0.0 μB/f.u.
formation enthalpy at 0 K: -0.097 eV/atom
DFT total energy: -0.16516 Ha/atom

Structure (extended XYZ):
```
4
Lattice="-1.928 -0.009 -3.550 0.733 -2.924 -2.689 -2.815 -2.795 -0.763" Properties=species:S:1:pos:R:3 pbc="T T T"
Be 0.000 0.000 0.000
Be -1.002 -1.432 -1.750
Zn -3.007 -4.295 -5.251
Ir -2.005 -2.863 -3.501
```

---

# 4
First-principles (PBE) data for crystalline BeZnIr2 at its relaxed geometry, as listed in the Alexandria database.

Summary:
space group: Amm2, No. 38
M_tot: 0.0 μB/f.u.
formation enthalpy at 0 K: -0.129 eV/atom
DFT total energy: -0.21349 Ha/atom
energy above the most stable polymorph in this dataset: 173 meV per atom

Structure (extended XYZ):
```
4
Lattice="-1.594 0.226 -3.570 -1.756 -1.966 0.660 -4.005 2.353 1.938" Properties=species:S:1:pos:R:3 pbc="T T T"
Be -4.895 0.888 0.094
Zn -3.188 -0.198 1.411
Ir -5.503 0.351 2.480
Ir -2.411 0.154 -1.062
```

---

# 5
First-principles (PBE) data for crystalline BeZnIr2 at its relaxed geometry, as listed in the Alexandria database.

Summary:
space group: C2/m, No. 12
M_tot: 0.0 μB/f.u.
formation enthalpy at 0 K: -0.239 eV/atom
DFT total energy: -0.21755 Ha/atom
energy above the most stable polymorph in this dataset: 63 meV per atom

Structure (extended XYZ):
```
4
Lattice="4.468 0.010 0.018 3.598 2.649 0.018 1.364 0.450 4.440" Properties=species:S:1:pos:R:3 pbc="T T T"
Be 7.073 2.332 3.357
Zn 2.358 0.777 1.119
Ir 1.527 0.503 4.345
Ir 4.552 1.501 2.334
```

---

# 6
First-principles (PBE) data for crystalline BeZnIr3 at its relaxed geometry, as listed in the Alexandria database.

Summary:
space group: Pm-3m, No. 221
M_tot: 0.0 μB/f.u.
formation enthalpy at 0 K: 0.311 eV/atom
DFT total energy: -0.22069 Ha/atom
energy above the most stable polymorph in this dataset: 0 meV per atom

Structure (extended XYZ):
```
5
Lattice="4.136 0.000 0.000 0.000 4.136 0.000 0.000 0.000 4.136" Properties=species:S:1:pos:R:3 pbc="T T T"
Be 0.000 0.000 0.000
Zn 2.068 2.068 2.068
Ir 0.000 2.068 0.000
Ir 0.000 0.000 2.068
Ir 2.068 0.000 0.000
```

---

# 7
First-principles (PBE) data for crystalline BeZnIr at its relaxed geometry, as listed in the Alexandria database.

Summary:
space group: F-43m, No. 216
M_tot: 0.0 μB/f.u.
formation enthalpy at 0 K: -0.152 eV/atom
DFT total energy: -0.17537 Ha/atom
energy above the most stable polymorph in this dataset: 231 meV per atom

Structure (extended XYZ):
```
3
Lattice="-2.603 -1.550 2.314 0.998 -2.797 2.390 0.150 0.661 3.751" Properties=species:S:1:pos:R:3 pbc="T T T"
Be -1.091 -2.764 6.341
Zn -0.727 -1.843 4.227
Ir 0.000 0.000 0.000
```

---

# 8
First-principles (PBE) data for crystalline BeZnIr2 at its relaxed geometry, as listed in the Alexandria database.

Summary:
space group: I-42d, No. 122
M_tot: 0.0 μB/f.u.
formation enthalpy at 0 K: 0.320 eV/atom
DFT total energy: -0.19700 Ha/atom
energy above the most stable polymorph in this dataset: 622 meV per atom

Structure (extended XYZ):
```
8
Lattice="-0.002 -3.839 0.284 3.808 -0.044 -0.562 3.092 -1.350 7.870" Properties=species:S:1:pos:R:3 pbc="T T T"
Be 1.903 -1.941 -0.139
Be 4.401 -1.668 3.585
Zn 0.000 0.000 0.000
Zn 2.496 -3.565 4.007
Ir 1.248 -2.576 2.062
Ir 3.153 -1.011 1.664
Ir 3.911 -2.471 5.774
Ir 5.484 -4.408 5.683
```

---

# 9
First-principles (PBE) data for crystalline BeZnIr2 at its relaxed geometry, as listed in the Alexandria database.

Summary:
space group: R3m, No. 160
M_tot: 0.0 μB/f.u.
formation enthalpy at 0 K: -0.255 eV/atom
DFT total energy: -0.21813 Ha/atom
energy above the most stable polymorph in this dataset: 47 meV per atom

Structure (extended XYZ):
```
4
Lattice="2.788 0.000 0.000 1.394 2.414 0.000 1.394 0.805 7.727" Properties=species:S:1:pos:R:3 pbc="T T T"
Be 2.788 1.609 0.002
Zn 2.788 1.609 3.865
Ir 1.394 0.805 5.985
Ir 1.394 0.805 1.739
```

---

# 10
First-principles (PBE) data for crystalline BeZnIr2 at its relaxed geometry, as listed in the Alexandria database.

Summary:
space group: Cmm2, No. 35
M_tot: 0.0 μB/f.u.
formation enthalpy at 0 K: 0.083 eV/atom
DFT total energy: -0.20570 Ha/atom
energy above the most stable polymorph in this dataset: 385 meV per atom

Structure (extended XYZ):
```
4
Lattice="-2.347 -1.069 0.851 2.136 -1.623 -0.422 2.411 1.086 8.019" Properties=species:S:1:pos:R:3 pbc="T T T"
Be 1.723 -0.522 6.295
Zn 1.244 0.561 4.138
Ir 2.344 1.056 7.795
Ir 0.506 -1.070 2.247
```

---

# 11
First-principles (PBE) data for crystalline BeZnIr3 at its relaxed geometry, as listed in the Alexandria database.

Summary:
space group: Pm-3m, No. 221
M_tot: 0.0 μB/f.u.
formation enthalpy at 0 K: 1.748 eV/atom
DFT total energy: -0.16789 Ha/atom
energy above the most stable polymorph in this dataset: 1437 meV per atom

Structure (extended XYZ):
```
5
Lattice="-2.686 1.311 3.346 -3.423 -2.207 -1.882 1.096 -3.679 2.322" Properties=species:S:1:pos:R:3 pbc="T T T"
Be -2.506 -2.288 1.893
Zn 0.000 0.000 0.000
Ir -1.711 -1.104 -0.941
Ir 0.548 -1.840 1.161
Ir -1.343 0.656 1.673
```

---

# 12
First-principles (PBE) data for crystalline BeZnIr2 at its relaxed geometry, as listed in the Alexandria database.

Summary:
space group: Cm, No. 8
M_tot: 0.0 μB/f.u.
formation enthalpy at 0 K: -0.222 eV/atom
DFT total energy: -0.21693 Ha/atom
energy above the most stable polymorph in this dataset: 79 meV per atom

Structure (extended XYZ):
```
4
Lattice="4.867 0.000 0.012 4.079 2.656 0.012 1.571 0.466 4.053" Properties=species:S:1:pos:R:3 pbc="T T T"
Be 7.929 2.354 3.390
Zn 5.188 1.540 1.707
Ir 10.365 3.077 3.742
Ir 2.811 0.834 1.352
```

---

# 13
First-principles (PBE) data for crystalline Be4ZnIr3 at its relaxed geometry, as listed in the Alexandria database.

Summary:
space group: P4/mmm, No. 123
M_tot: 0.0 μB/f.u.
formation enthalpy at 0 K: -0.508 eV/atom
DFT total energy: -0.21512 Ha/atom

Structure (extended XYZ):
```
16
Lattice="3.964 0.000 0.000 0.000 5.651 0.000 0.000 0.000 7.929" Properties=species:S:1:pos:R:3 pbc="T T T"
Be 1.982 4.355 0.000
Be 1.982 4.355 3.964
Be 1.982 1.296 0.000
Be 1.982 1.296 3.964
Be 0.001 4.355 5.946
Be 3.963 4.355 1.982
Be 3.963 1.296 1.982
Be 0.001 1.296 5.946
Zn 0.000 2.825 0.000
Zn 0.000 2.825 3.964
Ir 0.000 0.000 0.000
Ir 0.000 0.000 3.964
Ir 1.983 0.000 5.946
Ir 1.981 0.000 1.982
Ir 1.983 2.825 5.946
Ir 1.982 2.825 1.982
```

---

# 14
First-principles (PBE) data for crystalline BeZnIr2 at its relaxed geometry, as listed in the Alexandria database.

Summary:
space group: Immm, No. 71
M_tot: 0.0 μB/f.u.
formation enthalpy at 0 K: -0.224 eV/atom
DFT total energy: -0.21700 Ha/atom
energy above the most stable polymorph in this dataset: 78 meV per atom

Structure (extended XYZ):
```
4
Lattice="-0.431 -4.614 -1.505 -0.614 -3.183 3.637 -1.811 3.857 -2.363" Properties=species:S:1:pos:R:3 pbc="T T T"
Be -1.474 -1.613 1.170
Zn -1.382 -2.328 -1.401
Ir -0.030 -0.225 0.061
Ir -0.492 -3.674 1.004
```

---

# 15
First-principles (PBE) data for crystalline BeZnIr4 at its relaxed geometry, as listed in the Alexandria database.

Summary:
space group: F-43m, No. 216
M_tot: 0.0 μB/f.u.
formation enthalpy at 0 K: 0.494 eV/atom
DFT total energy: -0.22957 Ha/atom

Structure (extended XYZ):
```
6
Lattice="-3.355 -1.787 3.448 -4.927 -0.621 -1.296 -1.942 -4.723 -0.517" Properties=species:S:1:pos:R:3 pbc="T T T"
Be 0.000 0.000 0.000
Zn -7.668 -5.348 1.226
Ir -5.512 -3.568 2.339
Ir -4.804 -5.037 0.354
Ir -6.299 -2.984 -0.036
Ir -3.833 -2.673 0.613
```

---

# 16
First-principles (PBE) data for crystalline ZrBe9Ir2 at its relaxed geometry, as listed in the Alexandria database.

Summary:
space group: P6_3/mmc, No. 194
M_tot: 0.0 μB/f.u.
formation enthalpy at 0 K: -0.408 eV/atom
DFT total energy: -0.19813 Ha/atom
energy above the most stable polymorph in this dataset: 0 meV per atom

Structure (extended XYZ):
```
24
Lattice="-3.249 0.535 -2.968 3.882 -1.737 -1.252 -4.794 -12.831 2.934" Properties=species:S:1:pos:R:3 pbc="T T T"
Zr -2.090 -10.603 0.377
Zr -2.070 -3.430 -1.662
Be 0.000 0.000 0.000
Be -2.397 -6.415 1.467
Be -1.198 -3.208 0.734
Be -3.595 -9.623 2.201
Be 0.307 -4.187 -1.090
Be -4.467 -9.845 -0.195
Be 0.196 -2.026 -0.580
Be 0.506 -2.616 -2.650
Be 2.101 -2.878 -1.194
Be -3.101 -8.646 -1.475
Be -3.412 -8.056 0.596
Be -5.006 -7.793 -0.860
Be -4.667 -11.417 1.365
Be -4.356 -12.006 -0.706
Be -6.261 -11.154 -0.092
Be -0.749 -5.976 -1.882
Be -1.060 -5.387 0.189
Be 0.845 -6.239 -0.425
Ir -1.101 -7.955 -0.229
Ir -1.081 -0.782 -2.268
Ir -3.060 -6.078 -1.057
Ir -3.079 -13.251 0.982
```

---

# 17
First-principles (PBE) data for crystalline ZrBeIr2 at its relaxed geometry, as listed in the Alexandria database.

Summary:
space group: I-4m2, No. 119
M_tot: 0.0 μB/f.u.
formation enthalpy at 0 K: -0.471 eV/atom
DFT total energy: -0.29288 Ha/atom

Structure (extended XYZ):
```
4
Lattice="-1.167 4.554 -1.718 -1.636 0.181 -4.727 -1.102 -2.687 4.076" Properties=species:S:1:pos:R:3 pbc="T T T"
Be -1.835 2.117 -0.432
Ir 0.000 0.000 0.000
Ir -2.069 -0.069 -1.936
Zr -1.401 2.368 -3.222
```

---

# 18
First-principles (PBE) data for crystalline ZrBeIr2 at its relaxed geometry, as listed in the Alexandria database.

Summary:
space group: Cmmm, No. 65
M_tot: 0.0 μB/f.u.
formation enthalpy at 0 K: -0.527 eV/atom
DFT total energy: -0.29496 Ha/atom

Structure (extended XYZ):
```
8
Lattice="3.711 0.000 0.000 0.000 3.753 -0.916 0.000 0.185 8.904" Properties=species:S:1:pos:R:3 pbc="T T T"
Zr 0.000 3.361 5.626
Zr 0.000 0.576 2.362
Be 1.855 2.191 0.833
Be 1.855 1.746 7.155
Ir 0.000 1.876 -0.458
Ir 1.855 0.000 0.000
Ir 1.855 2.710 2.959
Ir 1.855 1.227 5.029
```

---

# 19
First-principles (PBE) data for crystalline ZrBe2Ir at its relaxed geometry, as listed in the Alexandria database.

Summary:
space group: Pmmm, No. 47
M_tot: 0.0 μB/f.u.
formation enthalpy at 0 K: -0.189 eV/atom
DFT total energy: -0.23535 Ha/atom
energy above the most stable polymorph in this dataset: 328 meV per atom

Structure (extended XYZ):
```
4
Lattice="-1.104 3.614 0.502 -0.649 -0.700 3.617 3.700 1.011 0.860" Properties=species:S:1:pos:R:3 pbc="T T T"
Be 0.000 0.000 0.000
Be -0.876 1.457 2.059
Ir 1.298 2.313 0.681
Zr 1.526 0.155 2.238
```

---

# 20
First-principles (PBE) data for crystalline ZrBeIr2 at its relaxed geometry, as listed in the Alexandria database.

Summary:
space group: Pm, No. 6
M_tot: 0.0 μB/f.u.
formation enthalpy at 0 K: -0.416 eV/atom
DFT total energy: -0.29089 Ha/atom

Structure (extended XYZ):
```
4
Lattice="4.140 0.000 0.000 0.000 2.947 0.019 0.000 1.396 4.982" Properties=species:S:1:pos:R:3 pbc="T T T"
Be 2.070 3.790 3.877
Ir 0.000 3.833 4.838
Ir 2.070 0.947 1.229
Zr 0.000 2.290 2.558
```